Below is a relaxed La8PrTm2 crystal, with properties calculated at the PBE level.

Computed properties:
For the theoretical density, the calculation gives 6.66 g cm⁻³. As for the energy of formation: 0.097 eV/atom. The value obtained for the total energy is -52.08 eV/f.u. The offset from the most stable computed form is 0.0 kJ/mol of atoms. The space group is Immm (71).

abc: 9.6473 9.6473 9.6473
angles: 145.15 128.61 63.60
Closest atoms and distances in Å follow each position.
Sites, in units of the cell vectors:
La1 0.1628 0.3623 0.8004  4 La 3.34-3.67, 1 Pr 3.38, 3 Tm 3.50-3.65
La2 0.1639 0.1639 0.0000  2 Tm 3.64, 8 La 3.65-3.85, 2 Pr 3.95
La3 0.2953 0.0000 0.2953  7 La 3.42-3.67, 2 Tm 3.72, 2 Pr 3.80
La4 0.4381 0.6377 0.8004  4 La 3.34-3.67, 1 Pr 3.38, 3 Tm 3.50-3.65
La5 0.5619 0.3623 0.1996  4 La 3.34-3.67, 1 Pr 3.38, 3 Tm 3.50-3.65
La6 0.7047 0.0000 0.7047  7 La 3.42-3.67, 2 Tm 3.72, 2 Pr 3.80
La7 0.8361 0.8361 0.0000  2 Tm 3.64, 8 La 3.65-3.85, 2 Pr 3.95
La8 0.8372 0.6377 0.1996  4 La 3.34-3.67, 1 Pr 3.38, 3 Tm 3.50-3.65
Pr1 0.0000 0.5000 0.5000  4 La 3.38
Tm1 0.2987 0.7987 0.5000  10 La 3.50-3.72
Tm2 0.7013 0.2013 0.5000  10 La 3.50-3.72